--- A ---
AgIrCl2 SCAN PBEsol geometry; M_tot = 1.0 Bohr magnetons per cell
1.0
-2.640 -2.222 0.735
1.008 -0.080 3.380
-2.631 5.622 -0.925
Ir Ag Cl
1 1 2
Cartesian
-0.816 -1.151 2.058
-1.220 2.196 2.257
0.000 0.000 0.000
-3.044 1.124 0.934

=====

--- B ---
AgIrCl2 SCAN PBEsol geometry; M_tot = 0.7 Bohr magnetons per cell
1.0
2.940 0.000 0.000
0.000 4.062 0.000
0.000 0.000 5.871
Ir Ag Cl
1 1 2
Cartesian
1.470 2.031 0.000
0.000 2.031 2.935
0.000 0.000 0.000
1.470 0.000 2.935

=====

Most favorable structure: B. The second most favorable one is 40 meV per atom above it.

=====

--- A ---
La3In SCAN PBEsol geometry; M_tot = 0.1 Bohr magnetons per cell
1.0
3.619 0.000 0.000
0.000 4.681 0.000
0.000 0.000 7.218
La In
3 1
Cartesian
1.809 2.340 5.586
0.000 0.000 3.609
1.809 2.340 1.632
0.000 0.000 0.000

=====

--- B ---
La3In SCAN PBEsol geometry; M_tot = 0.0 Bohr magnetons per cell
1.0
3.569 0.000 0.014
0.000 5.702 0.000
-0.745 0.000 6.058
In La
1 3
Cartesian
0.000 0.000 0.000
0.193 2.851 4.680
1.412 0.000 3.036
2.632 2.851 1.392

=====

Most favorable structure: A. The second most favorable one is 67 meV per atom above it.

=====

--- A ---
TaReW2 SCAN PBEsol geometry; M_tot = 0.0 Bohr magnetons per cell
1.0
3.159 0.000 0.000
0.000 4.448 0.000
-1.580 -2.224 4.500
Re W Ta
1 2 1
Cartesian
0.000 2.224 0.000
1.580 2.224 2.233
0.000 0.000 2.267
1.580 0.000 0.000

=====

--- B ---
TaReW2 SCAN PBEsol geometry; M_tot = 0.0 Bohr magnetons per cell
1.0
4.468 0.000 0.000
2.234 3.870 0.000
2.234 1.290 3.648
Re W Ta
1 2 1
Cartesian
4.468 2.580 1.824
0.000 0.000 0.000
6.703 3.870 2.736
2.234 1.290 0.912

=====

Most favorable structure: B. The second most favorable one is 14 meV per atom above it.

=====

--- A ---
RuPtW2 SCAN PBEsol geometry; M_tot = 0.0 Bohr magnetons per cell
1.0
-2.744 -0.272 0.107
-0.141 -0.317 -4.429
0.487 -4.778 0.326
Ru Pt W
1 1 2
Cartesian
-1.346 -1.245 -2.096
-1.105 -2.751 0.232
0.023 -0.229 0.016
0.273 -3.532 -1.984

=====

--- B ---
RuPtW2 SCAN PBEsol geometry; M_tot = 0.0 Bohr magnetons per cell
1.0
3.908 0.000 0.000
0.000 3.908 0.000
-1.954 -1.954 3.882
Pt Ru W
1 1 2
Cartesian
0.000 0.000 0.000
0.000 1.954 1.941
1.954 1.954 0.000
1.954 0.000 1.941

=====

Most favorable structure: A. The second most favorable one is 83 meV per atom above it.